[1]
Density functional theory data (GGA-PBE) for a geometry-optimized Co8W7 structure.

Cell: 9.2073 9.2073 4.7352 Å, 90.00 90.00 90.00°
Atoms (fractional coordinates):
Co (0.1307, 0.4612, 0.0000)
Co (0.3129, 0.6871, 0.7499)
Co (0.5388, 0.8693, 0.0000)
Co (0.1871, 0.1871, 0.7501)
Co (0.9612, 0.3693, 0.5000)
Co (0.6871, 0.3129, 0.7499)
Co (0.4612, 0.1307, 0.0000)
Co (0.3129, 0.6871, 0.2501)
Co (0.8129, 0.8129, 0.7501)
Co (0.8129, 0.8129, 0.2499)
Co (0.1871, 0.1871, 0.2499)
Co (0.6871, 0.3129, 0.2501)
Co (0.3693, 0.9612, 0.5000)
Co (0.6307, 0.0388, 0.5000)
Co (0.8693, 0.5388, 0.0000)
Co (0.0388, 0.6307, 0.5000)
W (0.0000, 0.0000, 0.0000)
W (0.2778, 0.9394, 0.0000)
W (0.4394, 0.2222, 0.5000)
W (0.5606, 0.7778, 0.5000)
W (0.0606, 0.7222, 0.0000)
W (0.6079, 0.6079, 0.0000)
W (0.5000, 0.5000, 0.5000)
W (0.9394, 0.2778, 0.0000)
W (0.1079, 0.8921, 0.5000)
W (0.3921, 0.3921, 0.0000)
W (0.7222, 0.0606, 0.0000)
W (0.7778, 0.5606, 0.5000)
W (0.8921, 0.1079, 0.5000)
W (0.2222, 0.4394, 0.5000)

* spin magnetization: 0.393 μB per atom
* energy of formation from the pure elements: 18.3 kJ/mol of atoms
* SG: P4_2/mnm (136)
* E above lowest polymorph: 0.46 eV per formula unit



[2]
Density functional theory data (GGA-PBE) for a geometry-optimized Co5W8 structure.

Cell: 9.1686 9.1686 9.1686 Å, 32.15 32.15 32.15°
Atoms (fractional coordinates):
Co (0.0000, 0.0000, 0.0000)
Co (0.3514, 0.3514, 0.3514)
Co (0.6486, 0.6486, 0.6486)
Co (0.4520, 0.4520, 0.4520)
Co (0.5480, 0.5480, 0.5480)
W (0.8331, 0.8331, 0.8331)
W (0.0935, 0.0935, 0.5895)
W (0.9065, 0.4105, 0.9065)
W (0.9065, 0.9065, 0.4105)
W (0.0935, 0.5895, 0.0935)
W (0.1669, 0.1669, 0.1669)
W (0.5895, 0.0935, 0.0935)
W (0.4105, 0.9065, 0.9065)

* spin magnetization: 0.012 μB per atom
* energy of formation from the pure elements: 46.4 kJ/mol of atoms
* SG: R-3m (166)
* E above lowest polymorph: 1.13 eV per formula unit



[3]
Density functional theory data (GGA-PBE) for a geometry-optimized CoW5 structure.

Cell: 5.1137 5.1137 8.2634 Å, 90.00 90.00 120.00°
Atoms (fractional coordinates):
W (0.3384, 0.1692, 0.2500)
W (0.3333, 0.6667, 0.4370)
W (0.6667, 0.3333, 0.5630)
W (0.1692, 0.8308, 0.7500)
W (0.8308, 0.6616, 0.2500)
W (0.6616, 0.8308, 0.7500)
W (0.8308, 0.1692, 0.2500)
W (0.6667, 0.3333, 0.9370)
W (0.1692, 0.3384, 0.7500)
W (0.3333, 0.6667, 0.0630)
Co (0.0000, 0.0000, 0.0000)
Co (0.0000, 0.0000, 0.5000)

* spin magnetization: 0.045 μB per atom
* energy of formation from the pure elements: 30.3 kJ/mol of atoms
* SG: P6_3/mmc (194)
* E above lowest polymorph: 0.00 eV per formula unit



[4]
Density functional theory data (GGA-PBE) for a geometry-optimized Co5W7 structure.

Cell: 5.0540 5.0540 16.1229 Å, 90.00 90.00 120.00°
Atoms (fractional coordinates):
Co (0.0000, 0.5000, 0.0000)
Co (0.5000, 0.0000, 0.0000)
Co (0.0000, 0.0000, 0.0979)
Co (0.0000, 0.0000, 0.5979)
Co (0.5000, 0.5000, 0.5000)
Co (0.5000, 0.0000, 0.5000)
Co (0.0000, 0.5000, 0.5000)
Co (0.0000, 0.0000, 0.4021)
Co (0.0000, 0.0000, 0.9021)
Co (0.5000, 0.5000, 0.0000)
W (0.6716, 0.8358, 0.2500)
W (0.6667, 0.3333, 0.6141)
W (0.6667, 0.3333, 0.8859)
W (0.3333, 0.6667, 0.1141)
W (0.3333, 0.6667, 0.8539)
W (0.1642, 0.3284, 0.2500)
W (0.3333, 0.6667, 0.6461)
W (0.6667, 0.3333, 0.3539)
W (0.8358, 0.1642, 0.7500)
W (0.8358, 0.6716, 0.7500)
W (0.3284, 0.1642, 0.7500)
W (0.3333, 0.6667, 0.3859)
W (0.6667, 0.3333, 0.1461)
W (0.1642, 0.8358, 0.2500)

* spin magnetization: 0.459 μB per atom
* energy of formation from the pure elements: 51.9 kJ/mol of atoms
* SG: P6_3/mmc (194)
* E above lowest polymorph: 3.46 eV per formula unit



[5]
Density functional theory data (GGA-PBE) for a geometry-optimized Co17W12 structure.

Cell: 7.8497 7.8497 7.8497 Å, 109.47 109.47 109.47°
Atoms (fractional coordinates):
Co (0.0000, 0.6781, 0.0000)
Co (0.6320, 0.6320, 0.8222)
Co (0.6781, 0.0000, 0.0000)
Co (0.1902, 0.0000, 0.3680)
Co (0.8098, 0.1778, 0.8098)
Co (0.6320, 0.8222, 0.6320)
Co (0.1902, 0.3680, 0.0000)
Co (0.8098, 0.8098, 0.1778)
Co (0.0000, 0.0000, 0.6781)
Co (0.8222, 0.6320, 0.6320)
Co (0.0000, 0.1902, 0.3680)
Co (0.0000, 0.3680, 0.1902)
Co (0.1778, 0.8098, 0.8098)
Co (0.3680, 0.0000, 0.1902)
Co (0.3680, 0.1902, 0.0000)
Co (0.3219, 0.3219, 0.3219)
Co (0.0000, 0.0000, 0.0000)
W (0.0000, 0.4047, 0.7007)
W (0.5953, 0.2960, 0.5953)
W (0.2993, 0.7040, 0.2993)
W (0.2993, 0.2993, 0.7040)
W (0.4047, 0.0000, 0.7007)
W (0.4047, 0.7007, 0.0000)
W (0.7007, 0.4047, 0.0000)
W (0.7007, 0.0000, 0.4047)
W (0.5953, 0.5953, 0.2960)
W (0.7040, 0.2993, 0.2993)
W (0.0000, 0.7007, 0.4047)
W (0.2960, 0.5953, 0.5953)

* spin magnetization: 0.180 μB per atom
* energy of formation from the pure elements: 20.0 kJ/mol of atoms
* SG: I-43m (217)
* E above lowest polymorph: 0.00 eV per formula unit



[6]
Density functional theory data (GGA-PBE) for a geometry-optimized Co7W8 structure.

Cell: 9.1828 9.1828 4.9320 Å, 90.00 90.00 90.00°
Atoms (fractional coordinates):
W (0.4452, 0.2461, 0.5000)
W (0.0351, 0.6464, 0.5000)
W (0.9649, 0.3536, 0.5000)
W (0.0548, 0.7461, 0.0000)
W (0.1464, 0.4649, 0.0000)
W (0.9452, 0.2539, 0.0000)
W (0.8536, 0.5351, 0.0000)
W (0.2539, 0.9452, 0.0000)
W (0.5351, 0.8536, 0.0000)
W (0.6464, 0.0351, 0.5000)
W (0.5548, 0.7539, 0.5000)
W (0.3536, 0.9649, 0.5000)
W (0.7539, 0.5548, 0.5000)
W (0.7461, 0.0548, 0.0000)
W (0.4649, 0.1464, 0.0000)
W (0.2461, 0.4452, 0.5000)
Co (0.9082, 0.0918, 0.5000)
Co (0.1866, 0.1866, 0.2524)
Co (0.5918, 0.5918, 0.0000)
Co (0.3134, 0.6866, 0.7524)
Co (0.5000, 0.5000, 0.5000)
Co (0.6866, 0.3134, 0.2476)
Co (0.8134, 0.8134, 0.2524)
Co (0.1866, 0.1866, 0.7476)
Co (0.3134, 0.6866, 0.2476)
Co (0.0000, 0.0000, 0.0000)
Co (0.8134, 0.8134, 0.7476)
Co (0.0918, 0.9082, 0.5000)
Co (0.6866, 0.3134, 0.7524)
Co (0.4082, 0.4082, 0.0000)

* spin magnetization: 0.151 μB per atom
* energy of formation from the pure elements: 29.6 kJ/mol of atoms
* SG: P4_2/mnm (136)
* E above lowest polymorph: 2.35 eV per formula unit



[7]
Density functional theory data (GGA-PBE) for a geometry-optimized Co2W3 structure.

Cell: 6.6963 4.8798 5.1743 Å, 119.83 87.86 106.24°
Atoms (fractional coordinates):
W (0.0112, 0.5034, 0.2513)
W (0.7704, 0.8994, 0.8103)
W (0.4458, 0.7379, 0.2220)
W (0.2297, 0.1004, 0.1913)
W (0.5539, 0.2591, 0.7733)
W (0.9891, 0.4968, 0.7507)
Co (0.1700, 0.0904, 0.7000)
Co (0.8301, 0.9106, 0.3023)
Co (0.6327, 0.3589, 0.3259)
Co (0.3671, 0.6431, 0.6728)

* spin magnetization: 0.105 μB per atom
* energy of formation from the pure elements: 19.7 kJ/mol of atoms
* SG: P1 (1)
* E above lowest polymorph: 0.00 eV per formula unit



[8]
Density functional theory data (GGA-PBE) for a geometry-optimized Co7W5 structure.

Cell: 4.9373 4.9373 15.3699 Å, 90.00 90.00 120.00°
Atoms (fractional coordinates):
Co (0.0000, 0.0000, 0.9063)
Co (0.3333, 0.6667, 0.3634)
Co (0.6909, 0.8454, 0.2500)
Co (0.3091, 0.1546, 0.7500)
Co (0.8455, 0.1546, 0.7500)
Co (0.1545, 0.8454, 0.2500)
Co (0.6667, 0.3333, 0.6366)
Co (0.0000, 0.0000, 0.5937)
Co (0.1545, 0.3091, 0.2500)
Co (0.3333, 0.6667, 0.1366)
Co (0.6667, 0.3333, 0.8634)
Co (0.0000, 0.0000, 0.0937)
Co (0.8454, 0.6909, 0.7500)
Co (0.0000, 0.0000, 0.4063)
W (0.6667, 0.3333, 0.3381)
W (0.0000, 0.5000, 0.0000)
W (0.0000, 0.5000, 0.5000)
W (0.5000, 0.5000, 0.5000)
W (0.3333, 0.6667, 0.8381)
W (0.6667, 0.3333, 0.1619)
W (0.5000, 0.5000, 0.0000)
W (0.5000, 0.0000, 0.0000)
W (0.3333, 0.6667, 0.6619)
W (0.5000, 0.0000, 0.5000)

* spin magnetization: 0.744 μB per atom
* energy of formation from the pure elements: 38.0 kJ/mol of atoms
* SG: P6_3/mmc (194)
* E above lowest polymorph: 0.21 eV per formula unit